LiMnPO4 (PBE with a Hubbard U, relaxed); size of the total moment = 5.0 μB/f.u.; DOS(E_F) = 0.0 states/eV/f.u.; calculated total energy = -7.1301 eV per atom; space group = Ccc2; polymorph energy (0 for the lowest one) = 51.8 meV per atom
1.0
3.893 -7.757 0.000
3.893 7.757 0.000
0.000 0.000 6.043
Li Mn P O
4 4 4 16
Cartesian
3.895 4.070 0.000 Li
3.892 4.070 3.022 Li
3.892 -4.070 0.000 Li
3.895 -4.070 3.022 Li
2.338 1.506 1.509 Mn
2.338 -1.506 4.531 Mn
5.448 1.506 4.531 Mn
5.448 -1.506 1.509 Mn
2.275 1.997 4.534 P
2.275 -1.997 1.512 P
5.512 1.997 1.512 P
5.512 -1.997 4.534 P
1.507 2.408 3.243 O
1.507 2.413 5.822 O
2.525 0.489 4.539 O
3.678 2.725 4.532 O
1.507 -2.408 0.222 O
1.507 -2.413 2.801 O
4.109 2.725 1.510 O
2.525 -0.489 1.517 O
5.261 0.489 1.517 O
3.678 -2.725 1.510 O
6.280 2.408 0.222 O
6.280 2.413 2.801 O
4.109 -2.725 4.532 O
5.261 -0.489 4.539 O
6.280 -2.408 3.243 O
6.280 -2.413 5.822 O